--- i ---
Entry from OQMD: a geometry-optimized HfUTc structure (PBE).

abc: 4.482 4.482 4.482
angles: 60.00 60.00 60.00
Sites, in units of the cell vectors:
Hf: 0.000 0.000 0.000
U: 0.250 0.250 0.250
Tc: 0.500 0.500 0.500

crystal system	cubic

--- ii ---
Entry from OQMD: a geometry-optimized HfUTc structure (PBE).

abc: 4.498 4.498 4.498
angles: 60.00 60.00 60.00
Sites, in units of the cell vectors:
Hf: 0.000 0.000 0.000
U: 0.250 0.250 0.250
Tc: 0.750 0.750 0.750

crystal system	cubic

Stability ranking, top entry: ii; the second entry is 8.0 kJ/mol of atoms less favorable.

--- i ---
Entry from OQMD: a geometry-optimized HfTc2W structure (PBE).

abc: 4.501 4.501 4.501
angles: 60.00 60.00 60.00
Sites, in units of the cell vectors:
Hf: 0.000 0.000 0.000
Tc: 0.250 0.250 0.250
Tc: 0.500 0.500 0.500
W: 0.750 0.750 0.750

crystal system	cubic

--- ii ---
Entry from OQMD: a geometry-optimized HfTc2W structure (PBE).

abc: 4.508 4.508 3.184
angles: 90.00 90.00 90.00
Sites, in units of the cell vectors:
Hf: 0.000 0.000 0.000
Tc: 0.000 0.500 0.500
Tc: 0.500 0.000 0.500
W: 0.500 0.500 0.000

crystal system	tetragonal

--- iii ---
Entry from OQMD: a geometry-optimized HfTc2W structure (PBE).

abc: 3.177 3.177 6.436
angles: 90.00 90.00 90.00
Sites, in units of the cell vectors:
Hf: 0.000 0.000 0.000
Tc: 0.500 0.500 0.262
Tc: 0.500 0.500 0.738
W: 0.000 0.000 0.500

crystal system	tetragonal

Stability ranking, top entry: iii; the second entry is 1.2 kJ/mol of atoms less favorable.